P:
Density functional theory data (PBE-GGA) for AcMg2Hg2 after structural relaxation.

Properties
Calculated volume ... 270.34 Å³ per cell
Crystal system ... tetragonal

Unit cell a=4.5507 b=4.5507 c=13.0539 alpha=90.00 beta=90.00 gamma=90.00
Space group I4/mmm (No. 139)
Symmetry-distinct sites (fractional):
Ac1 0.0000 0.0000 0.0000 [2 per cell]
Mg1 0.0000 0.5000 0.2500 [4 per cell]
Hg1 0.0000 0.0000 0.3859 [4 per cell]

Q:
Density functional theory data (PBE-GGA) for AcMg2Hg2 after structural relaxation.

Properties
Calculated volume ... 136.17 Å³ per cell
Crystal system ... tetragonal

Unit cell a=4.5077 b=4.5077 c=6.7017 alpha=90.00 beta=90.00 gamma=90.00
Space group P4/mmm (No. 123)
Symmetry-distinct sites (fractional):
Ac1 0.0000 0.0000 0.0000 [1 per cell]
Mg1 0.0000 0.5000 0.5000 [2 per cell]
Hg1 0.5000 0.5000 0.2221 [2 per cell]

P is preferred energetically. Next in line: 0.033 eV/atom higher.

P:
Density functional theory data (PBE-GGA) for AcMg9Hg2 after structural relaxation.

Properties
Calculated volume ... 1155.12 Å³ per cell
Crystal system ... tetragonal

Unit cell a=12.1722 b=12.1722 c=7.7963 alpha=90.00 beta=90.00 gamma=90.00
Space group I4_1/amd (No. 141, origin choice 2)
Symmetry-distinct sites (fractional):
Ac1 0.0000 0.2500 0.3750 [4 per cell]
Mg1 0.0000 0.2500 0.8750 [4 per cell]
Mg2 0.1222 0.0481 0.6819 [32 per cell]
Hg1 0.0000 0.0000 0.0000 [8 per cell]

Q:
Density functional theory data (PBE-GGA) for AcMg9Hg2 after structural relaxation.

Properties
Calculated volume ... 297.69 Å³ per cell
Crystal system ... hexagonal

Unit cell a=9.7684 b=9.7684 c=3.6024 alpha=90.00 beta=90.00 gamma=120.00
Space group P6/mmm (No. 191)
Symmetry-distinct sites (fractional):
Ac1 0.0000 0.0000 0.0000 [1 per cell]
Mg1 0.0000 0.5000 0.0000 [3 per cell]
Mg2 0.1906 0.3813 0.5000 [6 per cell]
Hg1 0.3333 0.6667 0.0000 [2 per cell]

P is preferred energetically. Next in line: 0.059 eV/atom higher.